Ni8RhW2: optimized geometry, GGA-PBE.

Computed properties:
Volume (Å³ per atom): 12.50
VASP energy (eV per atom): -7.103
DOS at the Fermi energy (states/eV/cell): 13.04
Magnetic moment (μB per cell): 0.0
Theoretical density (Mg/m³): 11.35
DFT formation energy (eV/atom): 0.125

Cell lengths 6.3951, 6.3951, 6.3951 Å; angles 141.96, 119.42, 73.81 degrees
Atoms (fractional coordinates):
Ni (0.1517, 0.1517, 0.0000)
Ni (0.1696, 0.3617, 0.8080)
Ni (0.3006, 0.0000, 0.3006)
Ni (0.4463, 0.6383, 0.8080)
Ni (0.5537, 0.3617, 0.1920)
Ni (0.6994, 0.0000, 0.6994)
Ni (0.8304, 0.6383, 0.1920)
Ni (0.8483, 0.8483, 0.0000)
Rh (0.0000, 0.5000, 0.5000)
W (0.2882, 0.7882, 0.5000)
W (0.7118, 0.2118, 0.5000)